The following is a DFT calculation (GGA-PBE) of TbY2Cd3 after structural relaxation.

Computed properties:
Space group: P-3m1 (164)
Calculated formation energy (meV per atom): -344
Calculated total energy (eV for the cell shown): -22.4
DOS(E_F) (states/eV per atom): 1.04

Unit cell a=5.303 b=5.303 c=6.512 alpha=90.00 beta=90.00 gamma=120.00
Sites, in units of the cell vectors:
Tb 0.000 0.000 0.000
Y 0.333 0.667 0.666
Y 0.667 0.333 0.334
Cd 0.000 0.000 0.500
Cd 0.333 0.667 0.166
Cd 0.667 0.333 0.834